[1]
The following is a PBE calculation of Pr12Sm5Hg2 after structural relaxation, from Alexandria via LeMat-Bulk.

The space group is C2/m (No. 12) and the conventional cell measures 15.7319, 9.4855 and 8.7263 Å, with angles of 90.00, 93.70 and 90.00 degrees. The inequivalent atoms are Pr at (0.0562, 0.0000, 0.3111), Pr at (0.0809, 0.5000, 0.8833), Pr at (0.1233, 0.1934, 0.6602), Pr at (0.1490, 0.3159, 0.2348), Sm at (0.0000, 0.5000, 0.5000), Sm at (0.1855, 0.0000, 0.0066), Sm at (0.2337, 0.5000, 0.5838) and Hg at (0.0000, 0.1849, 0.0000).

The calculation puts the energy relative to the elements at -0.002 eV/atom. As for the calculated density: 7.27 g/cm3.

---

[2]
The following is a PBE calculation of Zr2TiCuSe after structural relaxation, from Alexandria via LeMat-Bulk.

The space group is P4/mmm (No. 123) and the conventional cell measures 5.0194, 5.0194 and 4.4782 Å, with angles of 90.00, 90.00 and 90.00 degrees. The inequivalent atoms are Zr at (0.0000, 0.5000, 0.0000), Ti at (0.0000, 0.0000, 0.0000), Cu at (0.0000, 0.0000, 0.5000) and Se at (0.5000, 0.5000, 0.5000).

As for the calculated density: 5.49 g/cm3. As for the energy relative to the elements, uncorrected: 705 meV per atom.

---

[3]
The following is a PBE calculation of MgNp2Tl3Te6 after structural relaxation, from Alexandria via LeMat-Bulk.

The space group is C2/m (No. 12) and the conventional cell measures 7.6727, 13.2962 and 8.5601 Å, with angles of 90.00, 107.43 and 90.00 degrees. The inequivalent atoms are Mg at (0.0000, 0.0000, 0.0000), Np at (0.0000, 0.3337, 0.0000), Tl at (0.0000, 0.1696, 0.5000), Tl at (0.0000, 0.5000, 0.5000), Te at (0.2342, 0.1645, 0.2098) and Te at (0.2412, 0.5000, 0.2108).

As for the calculated density: 7.48 g/cm3. As for the energy relative to the elements, uncorrected: -565 meV per atom.

---

[4]
The following is a PBE calculation of PmSc3S6 after structural relaxation, from Alexandria via LeMat-Bulk.

The space group is P2_1/m (No. 11) and the conventional cell measures 10.6697, 3.8045 and 10.8836 Å, with angles of 90.00, 109.40 and 90.00 degrees. The inequivalent atoms are Pm at (0.0516, 0.2500, 0.1995), Sc at (0.1605, 0.2500, 0.5892), Sc at (0.3209, 0.7500, 0.0006), Sc at (0.4454, 0.2500, 0.3356), S at (0.0815, 0.7500, 0.4116), S at (0.1234, 0.2500, 0.9654), S at (0.2027, 0.7500, 0.7489), S at (0.2725, 0.7500, 0.2316), S at (0.3914, 0.2500, 0.5566) and S at (0.4766, 0.2500, 0.1125).

As for the calculated density: 3.76 g/cm3. As for the energy relative to the elements, uncorrected: -1943 meV per atom.

---

[5]
The following is a PBE calculation of KCaY4 after structural relaxation, from Alexandria via LeMat-Bulk.

The space group is F-43m (No. 216) and the conventional cell measures 9.8051, 9.8051 and 9.8051 Å, with angles of 90.00, 90.00 and 90.00 degrees. The inequivalent atoms are K at (0.0000, 0.0000, 0.0000), Ca at (0.2500, 0.2500, 0.2500) and Y at (0.1228, 0.1228, 0.6228).

The calculation puts the energy relative to the elements at 0.389 eV/atom. As for the calculated density: 3.06 g/cm3.